Material: Ba2TlW2O7
Method: DFT, PBE+U
State: optimized geometry

Its total energy is -6.462 eV per atom. The total magnetic moment is 3.1 μB per cell. The density of states at the Fermi level comes out at 0.275 states/eV per atom.

It has space group P4/mmm (No. 123), with a = 3.9704 Å, b = 3.9704 Å, c = 13.1984 Å, α = 90.00°, β = 90.00° and γ = 90.00°. The inequivalent atoms are Ba at (0.0000, 0.0000, 0.1965), Tl at (0.5000, 0.5000, 0.0000), W at (0.5000, 0.5000, 0.3713), O at (0.0000, 0.0000, 0.0000), O at (0.0000, 0.5000, 0.3735) and O at (0.5000, 0.5000, 0.2166).